Record 1
A geometry-optimized Cd4Cl6O structure. Source: the Alexandria database, functional PBE-GGA.

Computed properties:
The final energy is -0.20358 Ry per atom. For the energy relative to the elements, uncorrected, the calculation gives -1039 kJ/mol of formula units.

a = 6.503 Å, b = 9.140 Å, c = 9.140 Å
α = 120.00°, β = 90.00°, γ = 90.00°
Sites, in units of the cell vectors:
Cd  0.397  0.333  0.667
Cd  0.897  0.667  0.333
Cd  0.847  0.606  0.803
Cd  0.847  0.197  0.394
Cd  0.847  0.197  0.803
Cd  0.347  0.394  0.197
Cd  0.347  0.803  0.606
Cd  0.347  0.803  0.197
Cl  0.477  0.738  0.869
Cl  0.477  0.131  0.262
Cl  0.477  0.131  0.869
Cl  0.977  0.262  0.131
Cl  0.977  0.869  0.738
Cl  0.977  0.869  0.131
Cl  0.632  0.918  0.459
Cl  0.632  0.541  0.082
Cl  0.632  0.541  0.459
Cl  0.132  0.082  0.541
Cl  0.132  0.459  0.918
Cl  0.132  0.459  0.541
O  0.727  0.333  0.667
O  0.227  0.667  0.333

***

Record 2
A geometry-optimized Mg3GaCl structure. Source: the Alexandria database, functional PBE-GGA.

Computed properties:
The final energy is -0.16246 Ry per atom. The distance to the lowest polymorph of the same formula is 0.0 meV/atom. For the energy relative to the elements, uncorrected, the calculation gives -135 kJ/mol of formula units.

a = 5.102 Å, b = 5.102 Å, c = 5.102 Å
α = 90.00°, β = 90.00°, γ = 90.00°
Sites, in units of the cell vectors:
Mg  0.000  0.500  0.000
Mg  0.000  0.000  0.500
Mg  0.500  0.000  0.000
Ga  0.000  0.000  0.000
Cl  0.500  0.500  0.500

***

Record 3
A geometry-optimized Th3TcPb structure. Source: the Alexandria database, functional PBE-GGA.

Computed properties:
The calculation puts the formation enthalpy at 0 K at -0.10 eV per atom. The final energy is -0.54145 Ry per atom. The distance to the lowest polymorph of the same formula is 104.8 meV/atom.

a = 5.432 Å, b = 5.432 Å, c = 5.432 Å
α = 90.00°, β = 90.00°, γ = 90.00°
Sites, in units of the cell vectors:
Pb  0.500  0.500  0.500
Tc  0.000  0.000  0.000
Th  0.000  0.500  0.000
Th  0.000  0.000  0.500
Th  0.500  0.000  0.000

***

Record 4
A geometry-optimized Co2NiHgC structure. Source: the Alexandria database, functional PBE-GGA.

Computed properties:
The calculation puts the formation enthalpy at 0 K at 0.19 eV per atom. The final energy is -0.41978 Ry per atom.

a = 3.828 Å, b = 3.828 Å, c = 3.928 Å
α = 90.00°, β = 90.00°, γ = 90.00°
Sites, in units of the cell vectors:
Ni  0.000  0.000  0.500
C  0.000  0.000  0.000
Co  0.000  0.500  0.000
Co  0.500  0.000  0.000
Hg  0.500  0.500  0.500

***

Record 5
A geometry-optimized H8Pt2Pb structure. Source: the Alexandria database, functional PBE-GGA.

Computed properties:
The final energy is -0.27691 Ry per atom.

a = 3.566 Å, b = 3.566 Å, c = 9.618 Å
α = 108.57°, β = 108.57°, γ = 98.08°
Sites, in units of the cell vectors:
H  0.698  0.210  0.690
H  0.790  0.302  0.310
H  0.798  0.798  0.503
H  0.202  0.202  0.497
H  0.210  0.698  0.690
H  0.302  0.790  0.310
H  0.629  0.629  0.129
H  0.371  0.371  0.871
Pt  0.814  0.814  0.324
Pt  0.186  0.186  0.676
Pb  0.000  0.000  0.000

***

Record 6
A geometry-optimized SrPr2Y structure. Source: the Alexandria database, functional PBE-GGA.

Computed properties:
The calculation puts the formation enthalpy at 0 K at 0.11 eV per atom. The final energy is -0.31714 Ry per atom. The distance to the lowest polymorph of the same formula is 28.0 meV/atom.

a = 4.166 Å, b = 4.166 Å, c = 9.144 Å
α = 90.00°, β = 90.00°, γ = 90.00°
Sites, in units of the cell vectors:
Pr  0.000  0.000  0.792
Pr  0.000  0.000  0.208
Y  0.500  0.500  0.000
Sr  0.500  0.500  0.500

***

Record 7
A geometry-optimized Sr3Be structure. Source: the Alexandria database, functional PBE-GGA.

Computed properties:
The calculation puts the formation enthalpy at 0 K at 0.52 eV per atom. The final energy is -0.12315 Ry per atom. The distance to the lowest polymorph of the same formula is 242.1 meV/atom.

a = 5.974 Å, b = 5.974 Å, c = 5.974 Å
α = 60.00°, β = 60.00°, γ = 60.00°
Sites, in units of the cell vectors:
Sr  0.250  0.250  0.250
Sr  0.500  0.500  0.500
Sr  0.750  0.750  0.750
Be  0.000  0.000  0.000

***

Record 8
A geometry-optimized LaHg2 structure. Source: the Alexandria database, functional PBE-GGA.

Computed properties:
The calculation puts the formation enthalpy at 0 K at -0.35 eV per atom. The final energy is -0.16155 Ry per atom.

a = 6.218 Å, b = 6.218 Å, c = 9.513 Å
α = 90.00°, β = 90.00°, γ = 60.00°
Sites, in units of the cell vectors:
Hg  0.000  0.000  0.000
Hg  0.000  0.000  0.500
Hg  0.829  0.342  0.750
Hg  0.342  0.829  0.750
Hg  0.171  0.171  0.250
Hg  0.829  0.829  0.750
Hg  0.658  0.171  0.250
Hg  0.171  0.658  0.250
La  0.667  0.667  0.052
La  0.667  0.667  0.448
La  0.333  0.333  0.552
La  0.333  0.333  0.948

***

Record 9
A geometry-optimized ZrAlRe2 structure. Source: the Alexandria database, functional PBE-GGA.

Computed properties:
The calculation puts the formation enthalpy at 0 K at -0.05 eV per atom. The final energy is -0.68733 Ry per atom.

a = 2.805 Å, b = 2.805 Å, c = 8.724 Å
α = 90.00°, β = 90.00°, γ = 109.13°
Sites, in units of the cell vectors:
Re  0.000  0.000  0.984
Re  0.000  0.000  0.516
Al  0.500  0.500  0.750
Zr  0.500  0.500  0.250

***

Record 10
A geometry-optimized SrTa2Pb structure. Source: the Alexandria database, functional PBE-GGA.

Computed properties:
The calculation puts the formation enthalpy at 0 K at 0.72 eV per atom. The final energy is -0.48164 Ry per atom.

a = 6.346 Å, b = 6.346 Å, c = 6.346 Å
α = 149.63°, β = 127.77°, γ = 61.63°
Sites, in units of the cell vectors:
Pb  0.528  0.528  0.000
Sr  0.240  0.740  0.500
Ta  0.961  0.961  0.000
Ta  0.772  0.272  0.500